[1]
Density functional theory data (GGA-PBE) for a relaxed structure of Fe2PtN.

Crystal system ... trigonal
ΔE_f (raw) ... -0.018 eV/atom

CIF file:
```
data_Fe2PtN
_symmetry_space_group_name_H-M 'R -3 m'
_symmetry_Int_Tables_number 166
_symmetry_space_group_name_Hall '-R 3 2"'
_cell_length_a 2.8261
_cell_length_b 2.8261
_cell_length_c 19.3663
_cell_angle_alpha 90.00
_cell_angle_beta 90.00
_cell_angle_gamma 120.00
loop_
_atom_site_label
_atom_site_type_symbol
_atom_site_fract_x
_atom_site_fract_y
_atom_site_fract_z
Fe1 Fe 0.0000 0.0000 0.2213
Pt1 Pt 0.0000 0.0000 0.0000
N1 N 0.0000 0.0000 0.5000
```


[2]
Density functional theory data (GGA-PBE) for a relaxed structure of Nd2HfTe5.

Crystal system ... orthorhombic
ΔE_f (raw) ... -1.064 eV/atom

CIF file:
```
data_Nd2HfTe5
_symmetry_space_group_name_H-M 'C m c m'
_symmetry_Int_Tables_number 63
_symmetry_space_group_name_Hall '-C 2c 2'
_cell_length_a 6.039
_cell_length_b 14.976
_cell_length_c 14.490
_cell_angle_alpha 90.00
_cell_angle_beta 90.00
_cell_angle_gamma 90.00
loop_
_atom_site_label
_atom_site_type_symbol
_atom_site_fract_x
_atom_site_fract_y
_atom_site_fract_z
Nd1 Nd 0.000 0.153 0.061
Hf1 Hf 0.000 0.187 0.750
Te1 Te 0.000 0.046 0.623
Te2 Te 0.000 0.276 0.250
Te3 Te 0.000 0.312 0.592
```


[3]
Density functional theory data (GGA-PBE) for a relaxed structure of Tc4HgPb.

Crystal system ... cubic
Formation energy from the elements ... 65.8 kJ/mol of atoms

CIF file:
```
data_Tc4HgPb
_symmetry_space_group_name_H-M 'F -4 3 m'
_symmetry_Int_Tables_number 216
_symmetry_space_group_name_Hall 'F -4 2 3'
_cell_length_a 7.519
_cell_length_b 7.519
_cell_length_c 7.519
_cell_angle_alpha 90.00
_cell_angle_beta 90.00
_cell_angle_gamma 90.00
loop_
_atom_site_label
_atom_site_type_symbol
_atom_site_fract_x
_atom_site_fract_y
_atom_site_fract_z
Tc1 Tc 0.125 0.125 0.125
Hg1 Hg 0.250 0.250 0.750
Pb1 Pb 0.000 0.000 0.500
```


[4]
Density functional theory data (GGA-PBE) for a relaxed structure of Nd8Ga3GeI4.

Crystal system ... trigonal
ΔE_f (raw) ... -0.833 eV/atom

CIF file:
```
data_Nd8Ga3GeI4
_symmetry_space_group_name_H-M 'R -3 m'
_symmetry_Int_Tables_number 166
_symmetry_space_group_name_Hall '-R 3 2"'
_cell_length_a 8.7815
_cell_length_b 8.7815
_cell_length_c 22.7123
_cell_angle_alpha 90.00
_cell_angle_beta 90.00
_cell_angle_gamma 120.00
loop_
_atom_site_label
_atom_site_type_symbol
_atom_site_fract_x
_atom_site_fract_y
_atom_site_fract_z
Nd1 Nd 0.0000 0.0000 0.2369
Nd2 Nd 0.0010 0.5005 0.2357
Ga1 Ga 0.0000 0.5000 0.5000
Ge1 Ge 0.0000 0.0000 0.5000
I1 I 0.0000 0.0000 0.0000
I2 I 0.0000 0.5000 0.0000
```